1.
This record from Alexandria describes U3PaHg3Te8 after structural relaxation. The functional is PBE.

Lattice parameters (Å, degrees): 8.6623 8.6882 10.7016 66.23 66.18 60.15
Closest atoms and distances in Å follow each position.
Space group P-1 (No. 2)
Inequivalent atoms, fractional coordinates:
1 U 0.0000 0.0000 0.0000 x1  6 Te 3.06-3.08
2 U 0.0000 0.5000 0.0000 x1  6 Te 3.08-3.10
3 U 0.5000 0.0000 0.0000 x1  6 Te 3.06-3.09
4 Pa 0.5000 0.5000 0.0000 x1  6 Te 3.04
5 Hg 0.0000 0.5000 0.5000 x1  6 Te 3.87-3.89
6 Hg 0.5000 0.0000 0.5000 x1  6 Te 3.85-3.87
7 Hg 0.5000 0.5000 0.5000 x1  6 Te 3.87-3.89, 2 Hg 4.33
8 Te 0.2299 0.2269 0.8133 x2  3 U 3.06-3.08
9 Te 0.2352 0.7282 0.8121 x2  1 Pa 3.04, 2 U 3.08-3.10
10 Te 0.2738 0.7660 0.1867 x2  1 Pa 3.04, 2 U 3.08
11 Te 0.2751 0.2725 0.1879 x2  1 Pa 3.04, 2 U 3.09-3.10

Output
Spin magnetization = 2.2 μB per cell
ΔE_f (raw) = -0.487 eV/atom
DFT total energy = -5.11 eV/atom

---

2.
This record from Alexandria describes ThPaHg2 after structural relaxation. The functional is PBE.

Lattice parameters (Å, degrees): 3.2997 3.2997 33.1574 90.00 90.00 120.00
Closest atoms and distances in Å follow each position.
Space group R-3m (No. 166, hexagonal axes)
Inequivalent atoms, fractional coordinates:
1 Th 0.0000 0.0000 0.0000 x3  6 Th 3.30, 6 Hg 3.40
2 Pa 0.0000 0.0000 0.5000 x3  6 Pa 3.30, 6 Hg 3.31
3 Hg 0.0000 0.0000 0.2483 x6  6 Hg 3.30, 3 Pa 3.31, 3 Th 3.40

Output
Spin magnetization = 0.0 μB per cell
Energy above the most stable polymorph in this dataset = 47 meV per atom
DFT total energy = -4.38 eV/atom

---

3.
This record from Alexandria describes Th2PaHg after structural relaxation. The functional is PBE.

Lattice parameters (Å, degrees): 5.7029 5.7029 3.4121 90.00 90.00 90.00
Closest atoms and distances in Å follow each position.
Space group P4/mmm (No. 123)
Inequivalent atoms, fractional coordinates:
1 Th 0.0000 0.5000 0.0000 x2  4 Hg 3.32, 4 Pa 3.32, 2 Th 3.41
2 Pa 0.0000 0.0000 0.5000 x1  8 Th 3.32, 2 Pa 3.41
3 Hg 0.5000 0.5000 0.5000 x1  8 Th 3.32, 2 Hg 3.41

Output
Spin magnetization = 0.0 μB per cell
Energy above the most stable polymorph in this dataset = 0 meV per atom
DFT total energy = -6.22 eV/atom